(1)
FeTcH3 | PBE-GGA | optimized geometry

It has space group Pm-3m (No. 221), with a = 3.194 Å, b = 3.194 Å, c = 3.194 Å, α = 90.00°, β = 90.00° and γ = 90.00°. The asymmetric unit holds Fe at (0.000, 0.000, 0.000), Tc at (0.500, 0.500, 0.500) and H at (0.000, 0.000, 0.500).

As for the calculated volume: 33 Å³ per cell. The value obtained for the density is 7992 kg/m³. The density of states at the Fermi level comes out at 2.953 states/eV/cell. The value obtained for the energy is -27.4 eV per cell.



(2)
FeTcH2 | PBE-GGA | optimized geometry

It has space group Pbcm (No. 57), with a = 5.480 Å, b = 4.825 Å, c = 4.423 Å, α = 90.00°, β = 90.00° and γ = 90.00°. The asymmetric unit holds Fe at (0.123, 0.080, 0.250), Tc at (0.372, 0.586, 0.250), H at (0.097, 0.750, 0.000) and H at (0.338, 0.250, 0.000).

As for the calculated volume: 117 Å³ per cell. The value obtained for the density is 8853 kg/m³. The density of states at the Fermi level comes out at 8.088 states/eV/cell. The value obtained for the energy is -102.1 eV per cell.